16
Lattice="3.677 -4.647 0.000 3.677 4.647 0.000 -3.623 0.000 7.049" Properties=species:S:1:pos:R:3 comment="SrHfAsO5 (PBE-GGA, relaxed)" e_tot_ev_per_atom=-7.61 space_group="No. 15" n_ef_per_ev_cell=4.496 e_form_raw_kcal_per_mol_atoms=-57.1 pbc="T T T"
Sr 0.960 2.973 5.286
Sr 2.771 -2.973 1.762
Hf 3.677 0.000 0.000
Hf 1.865 0.000 3.524
As 2.771 2.866 1.762
As 0.960 -2.866 5.286
O -1.849 0.586 6.301
O 1.455 2.006 2.914
O -0.037 -0.586 2.777
O 4.087 2.006 0.610
O 0.960 0.476 5.286
O 2.771 -0.476 1.762
O -0.356 -2.006 6.439
O 3.768 0.586 4.272
O 2.275 -2.006 4.134
O 5.579 -0.586 0.747

=====

8
Lattice="2.356 1.360 8.504 -2.356 1.360 8.504 0.000 -2.720 8.504" Properties=species:S:1:pos:R:3 comment="Li4SmSn2Au (PBE-GGA, relaxed)" e_tot_ev_per_atom=-3.42 space_group="No. 166" n_ef_per_ev_cell=2.991 e_form_ev_per_atom=-0.4604 pbc="T T T"
Li 0.000 0.000 2.487
Li 0.000 0.000 9.294
Li 0.000 0.000 16.219
Li 0.000 0.000 23.026
Sm 0.000 0.000 12.756
Sn 0.000 0.000 6.070
Sn 0.000 0.000 19.443
Au 0.000 0.000 0.000

=====

It is found that the V values, taken in the order of the records, are 240.9, 163.5 Å³ per cell.